This record from the Alexandria database describes a PBEsol-optimized structure of MgZr2Cd. The functional is meta-GGA SCAN.

a = 5.448 Å, b = 5.448 Å, c = 5.448 Å
α = 133.61°, β = 133.61°, γ = 67.70°
Fractional coordinates of all 4 atoms:
Mg1 0.000 0.000 0.000
Zr1 0.250 0.750 0.500
Zr2 0.750 0.250 0.500
Cd1 0.500 0.500 0.000

**Symmetry**: I4/mmm, No. 139
**DFT formation energy**: -0.107 eV per atom
**Total DFT energy (no corrections)**: -24.303 eV per atom